DFT (PBE) results for ErPa2W after structural relaxation.

Cell and atoms, written as extended XYZ:
```
4
Lattice="3.319 0.000 0.000 1.660 2.875 0.000 1.660 0.958 10.071" Properties=species:S:1:pos:R:3 pbc="T T T"
Pa 4.979 2.875 7.834
Pa 1.660 0.958 2.237
W 0.000 0.000 0.000
Er 3.319 1.917 5.035
```

Summary:
DFT formation energy (eV/atom): 0.43
VASP energy (eV/cell): -34.79

=====

DFT (PBE) results for Sm4HgBiC after structural relaxation.

Cell and atoms, written as extended XYZ:
```
14
Lattice="7.047 0.000 0.000 0.000 7.041 0.000 -3.523 0.000 7.984" Properties=species:S:1:pos:R:3 pbc="T T T"
Bi 3.523 5.281 1.739
Bi 0.000 1.760 6.245
C 3.523 1.760 4.004
C 0.000 5.281 3.979
Hg 3.523 5.281 6.132
Hg 0.000 1.760 1.851
Sm 1.762 3.521 3.992
Sm 3.523 1.760 1.477
Sm 1.762 0.000 3.992
Sm -1.762 0.000 3.992
Sm 0.000 5.281 1.334
Sm -1.762 3.521 3.992
Sm 3.523 1.760 6.649
Sm 0.000 5.281 6.506
```

Summary:
DFT formation energy (eV/atom): -0.47
VASP energy (eV/cell): -71.12

=====

DFT (PBE) results for CaTl2Pb after structural relaxation.

Cell and atoms, written as extended XYZ:
```
4
Lattice="6.145 -0.020 0.026 4.292 4.399 0.026 1.853 0.777 4.351" Properties=species:S:1:pos:R:3 pbc="T T T"
Pb 3.071 1.289 1.101
Tl 9.217 3.867 3.302
Tl 1.856 0.779 4.349
Ca 6.142 2.577 2.202
```

Summary:
DFT formation energy (eV/atom): -0.25
VASP energy (eV/cell): -11.43

=====

DFT (PBE) results for Rb2HfPdI6 after structural relaxation.

Cell and atoms, written as extended XYZ:
```
10
Lattice="8.268 0.000 0.000 0.000 8.268 0.000 4.134 4.134 5.849" Properties=species:S:1:pos:R:3 pbc="T T T"
I 2.038 2.038 0.000
I 8.268 8.268 2.882
I 2.038 6.231 0.000
I 6.231 2.038 0.000
I 6.231 6.231 0.000
I 4.134 4.134 2.966
Hf 0.000 0.000 0.000
Pd 4.134 4.134 0.000
Rb 4.134 8.268 2.924
Rb 8.268 4.134 2.924
```

Summary:
E_form (uncorrected) (kJ/mol of atoms): -86.89
VASP energy (eV/cell): -35.39

=====

DFT (PBE) results for LaPmAsP after structural relaxation.

Cell and atoms, written as extended XYZ:
```
4
Lattice="-2.736 1.818 -2.705 1.436 -2.498 -3.131 -4.144 -4.146 1.406" Properties=species:S:1:pos:R:3 pbc="T T T"
P 0.897 -2.610 -2.661
Pm -1.175 -4.683 -1.958
La -1.189 -0.452 -2.448
As -3.261 -2.526 -1.746
```

Summary:
DFT formation energy (eV/atom): -1.55
VASP energy (eV/cell): -25.92

=====

DFT (PBE) results for PmSmCo2 after structural relaxation.

Cell and atoms, written as extended XYZ:
```
4
Lattice="-1.904 -2.711 -2.310 2.764 -2.649 0.831 -1.910 -0.286 5.441" Properties=species:S:1:pos:R:3 pbc="T T T"
Co -0.445 -1.936 4.546
Co -1.186 -0.245 3.165
Pm -0.257 -2.638 1.680
Sm -3.263 -2.245 3.698
```

Summary:
DFT formation energy (eV/atom): -0.10
ΔE to the lowest computed polymorph (meV/atom): 0
VASP energy (eV/cell): -24.09

=====

DFT (PBE) results for HoSiAu after structural relaxation.

Cell and atoms, written as extended XYZ:
```
3
Lattice="3.405 0.000 0.000 0.000 3.405 0.000 -1.702 -1.702 5.205" Properties=species:S:1:pos:R:3 pbc="T T T"
Si 0.000 0.000 3.140
Au 1.702 1.702 4.501
Ho 1.702 1.702 1.208
```

Summary:
E_form (uncorrected) (kJ/mol of atoms): -36.85
VASP energy (eV/cell): -14.42

=====

DFT (PBE) results for KCr4 after structural relaxation.

Cell and atoms, written as extended XYZ:
```
5
Lattice="-2.219 -0.820 -4.612 4.191 -2.628 -1.549 -2.093 -4.393 1.788" Properties=species:S:1:pos:R:3 pbc="T T T"
Cr 0.986 -1.724 -3.081
Cr 0.000 0.000 0.000
Cr -2.156 -2.606 -1.412
Cr 1.049 -3.510 0.119
K -0.060 -3.920 -2.187
```

Summary:
DFT formation energy (eV/atom): 2.50
ΔE to the lowest computed polymorph (meV/atom): 79
VASP energy (eV/cell): -27.09

=====

Calculated volume (computed, Å³/cell): 96.1, 396.1, 117.7, 399.8, 109.2, 85.6, 60.3, 139.3
Total magnetic moment (computed, μB per formula unit): 0.00, 0.00, 0.00, 0.00, 0.00, 0.51, 0.00, 9.97